A plane-wave DFT calculation with GGA-PBE was carried out for crystalline Hg2BiC at its relaxed geometry.

abc: 5.026 5.026 5.026
angles: 60.00 60.00 60.00
Positions (direct):
C  0.000  0.000  0.000
Bi  0.500  0.500  0.500
Hg  0.250  0.250  0.250
Hg  0.750  0.750  0.750

The density of states at the Fermi level comes out at 1.01 states/eV per atom. As for the crystal system: cubic. As for the calculated density: 11.5 g/cm3. The value obtained for the magnetization is 0.0 μB/cell. The value obtained for the energy of formation is 1.5988 eV per atom.



A plane-wave DFT calculation with GGA-PBE was carried out for crystalline KHgBi2C at its relaxed geometry.

abc: 4.989 5.894 4.989
angles: 90.00 90.00 90.00
Positions (direct):
C  0.000  0.000  0.000
K  0.000  0.500  0.000
Bi  0.000  0.000  0.500
Bi  0.500  0.000  0.000
Hg  0.500  0.500  0.500

The density of states at the Fermi level comes out at 0.67 states/eV per atom. As for the crystal system: tetragonal. As for the calculated density: 7.6 g/cm3. The value obtained for the magnetization is 0.0 μB/cell. The value obtained for the energy of formation is 0.7178 eV per atom.



A plane-wave DFT calculation with GGA-PBE was carried out for crystalline La2HgBiC at its relaxed geometry.

abc: 5.982 5.445 5.982
angles: 90.00 90.00 90.00
Site moments in Bohr magnetons follow the coordinates.
Positions (direct):
C  0.500  0.500  0.500  0.79
La  0.000  0.000  0.500  -0.06
La  0.500  0.000  0.000  -0.09
Bi  0.000  0.500  0.000  0.00
Hg  0.000  0.000  0.000  0.00

The density of states at the Fermi level comes out at 1.21 states/eV per atom. As for the crystal system: tetragonal. As for the calculated density: 6.0 g/cm3. The value obtained for the magnetization is 1.4 μB/cell. The value obtained for the energy of formation is 1.3894 eV per atom.



| no. | E (eV/cell) |
| --- | --- |
| 1 | -7.313 |
| 2 | -14.796 |
| 3 | -16.315 |